[1]
Below is a relaxed structure of FeW2Br, with properties calculated at the PBE-GGA level.

a = 3.0217 Å, b = 4.7644 Å, c = 9.1024 Å
α = 90.00°, β = 90.00°, γ = 90.00°
Space group Cmmm (No. 65)
Unique sites:
Fe (0.0000, 0.0000, 0.0000) [2 per cell]
W (0.0000, 0.5000, 0.2256) [4 per cell]
Br (0.0000, 0.0000, 0.5000) [2 per cell]

Summary:
Total energy (eV per atom): -8.10

---

[2]
Below is a relaxed structure of Ta2PtF, with properties calculated at the PBE-GGA level.

a = 6.3008 Å, b = 6.3008 Å, c = 6.3008 Å
α = 90.00°, β = 90.00°, γ = 90.00°
Space group Fm-3m (No. 225)
Unique sites:
Ta (0.2500, 0.2500, 0.2500) [8 per cell]
Pt (0.0000, 0.0000, 0.0000) [4 per cell]
F (0.0000, 0.0000, 0.5000) [4 per cell]

Summary:
Total energy (eV per atom): -8.47

---

Across the entries above, Fermi-level density of states takes the values 7.3, 21.8 states/eV per cell, respectively.
Across the entries above, V takes the values 16.38, 15.63 Å³/atom, respectively.
Across the entries above, energy relative to the elements, uncorrected takes the values 0.91, -0.56 eV/atom, respectively.